Entry 1:
# YSe2SBr

YSe2SBr after structural relaxation (PBE, the Alexandria database).

Summary:
uncorrected formation energy: -153 meV per atom
E_tot: -20.0 eV/cell

a b c (Å): 5.5871 5.5871 5.5323
angles (deg): 90.00 90.00 90.00
Closest atoms and distances in Å follow each position.
Element x y z (fractional)
Y 0.0000 0.0000 0.0000  2 Br 2.77, 4 Se 2.79
S 0.5000 0.5000 0.5000  8 Se 3.93, 4 Br 3.95
Se 0.0000 0.5000 0.0000  2 Y 2.79
Se 0.5000 0.0000 0.0000  2 Y 2.79
Br 0.0000 0.0000 0.5000  2 Y 2.77


Entry 2:
# YSe2SBr

YSe2SBr after structural relaxation (PBE, the Alexandria database).

Summary:
uncorrected formation energy: -283 meV per atom
E_tot: -20.6 eV/cell

a b c (Å): 4.9117 4.9117 5.0514
angles (deg): 90.00 90.00 90.00
Closest atoms and distances in Å follow each position.
Element x y z (fractional)
Y 0.5000 0.5000 0.5000  4 Br 3.47, 8 Se 3.52
S 0.0000 0.0000 0.0000  4 Se 2.46, 2 Br 2.53
Se 0.0000 0.5000 0.0000  2 S 2.46
Se 0.5000 0.0000 0.0000  2 S 2.46
Br 0.0000 0.0000 0.5000  2 S 2.53


Entry 3:
# ZnSeSBr2

ZnSeSBr2 after structural relaxation (PBE, the Alexandria database).

Summary:
uncorrected formation energy: 469 meV per atom
E_tot: -9.9 eV/cell

a b c (Å): 4.9695 4.9695 5.3325
angles (deg): 90.00 90.00 90.00
Closest atoms and distances in Å follow each position.
Element x y z (fractional)
S 0.5000 0.5000 0.5000  4 Se 3.51, 8 Br 3.64
Zn 0.0000 0.0000 0.0000  4 Br 2.48, 2 Se 2.67
Se 0.0000 0.0000 0.5000  2 Zn 2.67
Br 0.0000 0.5000 0.0000  2 Zn 2.48
Br 0.5000 0.0000 0.0000  2 Zn 2.48


Entry 4:
# ZnSeSBr2

ZnSeSBr2 after structural relaxation (PBE, the Alexandria database).

Summary:
uncorrected formation energy: 411 meV per atom
E_tot: -10.2 eV/cell

a b c (Å): 5.1049 5.1049 5.0328
angles (deg): 90.00 90.00 90.00
Closest atoms and distances in Å follow each position.
Element x y z (fractional)
S 0.0000 0.0000 0.0000  2 Se 2.52, 4 Br 2.55
Zn 0.5000 0.5000 0.5000  8 Br 3.58, 4 Se 3.61
Se 0.0000 0.0000 0.5000  2 S 2.52
Br 0.0000 0.5000 0.0000  2 S 2.55
Br 0.5000 0.0000 0.0000  2 S 2.55


Entry 5:
# Zr2SeSBr

Zr2SeSBr after structural relaxation (PBE, the Alexandria database).

Summary:
uncorrected formation energy: -95 meV per atom
E_tot: -26.9 eV/cell

a b c (Å): 4.9064 5.0289 4.9064
angles (deg): 90.00 90.00 90.00
Closest atoms and distances in Å follow each position.
Element x y z (fractional)
S 0.0000 0.0000 0.0000  4 Zr 2.45, 2 Se 2.51
Se 0.0000 0.5000 0.0000  2 S 2.51
Br 0.5000 0.5000 0.5000  4 Se 3.47, 8 Zr 3.51
Zr 0.0000 0.0000 0.5000  2 S 2.45
Zr 0.5000 0.0000 0.0000  2 S 2.45


Entry 6:
# SiSBr3

SiSBr3 after structural relaxation (PBE, the Alexandria database).

Summary:
uncorrected formation energy: 343 meV per atom
E_tot: -12.9 eV/cell

a b c (Å): 5.1674 5.1674 5.1674
angles (deg): 90.00 90.00 90.00
Closest atoms and distances in Å follow each position.
Element x y z (fractional)
S 0.5000 0.5000 0.5000  12 Br 3.65
Si 0.0000 0.0000 0.0000  6 Br 2.58
Br 0.0000 0.5000 0.0000  2 Si 2.58
Br 0.0000 0.0000 0.5000  2 Si 2.58
Br 0.5000 0.0000 0.0000  2 Si 2.58


Entry 7:
# SiS3Br

SiS3Br after structural relaxation (PBE, the Alexandria database).

Summary:
uncorrected formation energy: 516 meV per atom
E_tot: -16.9 eV/cell

a b c (Å): 4.5692 4.5692 4.5692
angles (deg): 90.00 90.00 90.00
Closest atoms and distances in Å follow each position.
Element x y z (fractional)
S 0.0000 0.5000 0.0000  2 Si 2.28
S 0.0000 0.0000 0.5000  2 Si 2.28
S 0.5000 0.0000 0.0000  2 Si 2.28
Si 0.0000 0.0000 0.0000  6 S 2.28
Br 0.5000 0.5000 0.5000  12 S 3.23


Entry 8:
# Si2SBr

Si2SBr after structural relaxation (PBE, the Alexandria database).

Summary:
uncorrected formation energy: 571 meV per atom
E_tot: -14.4 eV/cell

a b c (Å): 4.7556 4.7556 4.7556
angles (deg): 60.00 60.00 60.00
Closest atoms and distances in Å follow each position.
Element x y z (fractional)
S 0.0000 0.0000 0.0000  8 Si 2.91
Si 0.2500 0.2500 0.2500  4 Br 2.91, 4 S 2.91
Si 0.7500 0.7500 0.7500  4 Br 2.91, 4 S 2.91
Br 0.5000 0.5000 0.5000  8 Si 2.91